1.
Density functional theory data (PBE) for an optimized crystal structure of Sr2ZrAs.

a b c (Å): 5.3965 5.3965 5.3965
angles (deg): 60.00 60.00 60.00
Sites, in units of the cell vectors:
Sr (0.0000, 0.0000, 0.0000)
Sr (0.2500, 0.2500, 0.2500)
As (0.5000, 0.5000, 0.5000)
Zr (0.7500, 0.7500, 0.7500)

* calculated formation energy: 0.243 eV per atom
* space group: F-43m, No. 216
* crystal system: cubic

***

2.
Density functional theory data (PBE) for an optimized crystal structure of Sr2ZrAs.

a b c (Å): 4.1124 4.1184 8.1162
angles (deg): 59.51 90.00 90.00
Sites, in units of the cell vectors:
Sr (0.0000, 0.0312, 0.9687)
Sr (0.0000, 0.4688, 0.5313)
As (0.5000, 0.7500, 0.7500)
Zr (0.5000, 0.2500, 0.2500)

* calculated formation energy: -0.044 eV per atom
* space group: P4/mmm, No. 123
* crystal system: tetragonal

***

3.
Density functional theory data (PBE) for an optimized crystal structure of SrZr4As.

a b c (Å): 6.0139 6.0139 6.0139
angles (deg): 60.00 60.00 60.00
Sites, in units of the cell vectors:
Sr (0.0000, 0.0000, 0.0000)
Zr (0.8852, 0.3716, 0.3716)
Zr (0.3716, 0.3716, 0.8852)
Zr (0.3716, 0.8852, 0.3716)
Zr (0.3716, 0.3716, 0.3716)
As (0.7500, 0.7500, 0.7500)

* calculated formation energy: 0.435 eV per atom
* space group: F-43m, No. 216
* crystal system: cubic

***

4.
Density functional theory data (PBE) for an optimized crystal structure of Sr2ZrAs.

a b c (Å): 10.6124 10.6124 10.6124
angles (deg): 20.89 20.89 20.89
Sites, in units of the cell vectors:
Sr (0.0158, 0.0158, 0.0158)
Sr (0.4842, 0.4842, 0.4842)
As (0.7500, 0.7500, 0.7500)
Zr (0.2500, 0.2500, 0.2500)

* calculated formation energy: 0.068 eV per atom
* space group: R-3m, No. 166
* crystal system: trigonal

***

5.
Density functional theory data (PBE) for an optimized crystal structure of Sr2ZrAs.

a b c (Å): 11.1082 11.1082 8.2803
angles (deg): 47.87 47.87 90.00
Sites, in units of the cell vectors:
Sr (0.4838, 0.1250, 0.2500)
Sr (0.2662, 0.6250, 0.2500)
Sr (0.3750, 0.5162, 0.7500)
Sr (0.8750, 0.7338, 0.7500)
As (0.5000, 0.5000, 0.0000)
As (0.2500, 0.7500, 0.5000)
Zr (0.0000, 0.0000, 0.0000)
Zr (0.7500, 0.2500, 0.5000)

* calculated formation energy: -0.060 eV per atom
* space group: I-42d, No. 122
* crystal system: tetragonal

***

6.
Density functional theory data (PBE) for an optimized crystal structure of Sr2ZrAs.

a b c (Å): 6.8211 6.8211 6.8211
angles (deg): 147.01 130.45 60.82
Sites, in units of the cell vectors:
Sr (0.0515, 0.0515, 0.0000)
Sr (0.7423, 0.2423, 0.5000)
As (0.2760, 0.7760, 0.5000)
Zr (0.4302, 0.4302, 0.0000)

* calculated formation energy: -0.293 eV per atom
* space group: Imm2, No. 44
* crystal system: orthorhombic